This record from Alexandria via LeMat-Bulk describes a relaxed structure of YSc6Te8. The functional is PBE.

extended XYZ file:
```
15
Lattice="7.209 0.000 4.162 2.403 6.797 4.162 0.000 0.000 8.324" Properties=species:S:1:pos:R:3 pbc="T T T"
Sc 3.605 0.000 2.081
Sc 0.000 0.000 4.162
Sc 4.806 3.398 4.162
Sc 1.202 3.398 2.081
Sc 3.605 0.000 6.243
Sc 1.202 3.398 6.243
Te 7.209 5.098 12.487
Te 7.097 5.018 8.324
Te 5.952 1.778 6.340
Te 3.661 5.018 6.340
Te 2.515 1.778 8.324
Te 5.952 1.778 10.309
Te 3.661 5.018 10.309
Te 2.403 1.699 4.162
Y 0.000 0.000 0.000
```

Output
Volume in Å³/cell: 407.9
Raw formation energy in eV/atom: -1.206